No. 1
Material: In2Os2Cl
Method: DFT, PBE
State: optimized geometry

POSCAR file:
```
In2Os2Cl
1.0
-2.7036 2.7036 3.7606
2.7036 -2.7036 3.7606
2.7036 2.7036 -3.7606
Os In Cl
2 2 1
direct
0.3501 0.3501 0.0000
0.6499 0.6499 0.0000
0.2500 0.7500 0.5000
0.7500 0.2500 0.5000
0.0000 0.0000 0.0000
```

Uncorrected formation energy, meV/atom: 632.7
Mass density, g/cm3: 9.75
Space-group type: I4/mmm
Total magnetization, Bohr magnetons per cell: 0.76

No. 2
Material: InOsCl
Method: DFT, PBE
State: optimized geometry

POSCAR file:
```
InOsCl
1.0
8.3283 0.0292 -0.0163
7.4283 2.9682 -0.0230
0.9000 -1.5463 2.4993
Os In Cl
1 1 1
direct
0.3460 0.3460 0.6540
0.6878 0.6878 0.3122
0.9661 0.9661 0.0339
```

Uncorrected formation energy, meV/atom: 624.9
Mass density, g/cm3: 9.24
Space-group type: Fmm2
Polymorph energy (0 for the lowest one), eV/f.u.: 0.000
Total magnetization, Bohr magnetons per cell: 0.00

No. 3
Material: In4OsCl
Method: DFT, PBE
State: optimized geometry

POSCAR file:
```
In4OsCl
1.0
0.0000 4.1801 4.1801
4.1801 0.0000 4.1801
4.1801 4.1801 0.0000
Cl In Os
1 4 1
direct
0.0000 0.0000 0.0000
0.8742 0.3753 0.3753
0.3753 0.3753 0.3753
0.3753 0.3753 0.8742
0.3753 0.8742 0.3753
0.7500 0.7500 0.7500
```

Uncorrected formation energy, meV/atom: 773.8
Mass density, g/cm3: 7.79
Space-group type: F-43m
Total magnetization, Bohr magnetons per cell: 2.14

No. 4
Material: InOsCl
Method: DFT, PBE
State: optimized geometry

POSCAR file:
```
InOsCl
1.0
-2.7228 2.4068 -5.0874
-5.2487 -0.8488 -3.2891
2.9372 0.7420 5.4690
Cl Os In
1 1 1
direct
0.0194 0.0194 0.0000
0.6743 0.6743 0.0000
0.3063 0.3063 0.0000
```

Uncorrected formation energy, meV/atom: 780.2
Mass density, g/cm3: 9.59
Space-group type: I4mm
Polymorph energy (0 for the lowest one), eV/f.u.: 0.466
Total magnetization, Bohr magnetons per cell: 0.69

No. 5
Material: InOsCl
Method: DFT, PBE
State: optimized geometry

POSCAR file:
```
InOsCl
1.0
-3.7329 2.3620 -0.0532
-0.1409 -4.3352 0.8384
0.3256 0.5839 3.0739
Cl Os In
1 1 1
direct
0.0000 0.0000 0.8332
0.6667 0.3333 0.8334
0.3333 0.6667 0.3334
```

Uncorrected formation energy, meV/atom: 743.6
Mass density, g/cm3: 10.63
Space-group type: P-6m2
Polymorph energy (0 for the lowest one), eV/f.u.: 0.356
Total magnetization, Bohr magnetons per cell: 0.00

No. 6
Material: InOsCl
Method: DFT, PBE
State: optimized geometry

POSCAR file:
```
InOsCl
1.0
-2.6294 1.4952 -0.8730
0.2581 -1.1579 2.9162
2.7620 6.1369 2.1923
Cl In Os
1 1 1
direct
0.0000 0.0000 0.0538
0.6667 0.3333 0.3326
0.3333 0.6667 0.6136
```

Uncorrected formation energy, meV/atom: 678.8
Mass density, g/cm3: 9.31
Space-group type: P3m1
Polymorph energy (0 for the lowest one), eV/f.u.: 0.162
Total magnetization, Bohr magnetons per cell: 0.00

No. 7
Material: InOs3Cl
Method: DFT, PBE
State: optimized geometry

POSCAR file:
```
InOs3Cl
1.0
5.0193 0.0000 0.0000
0.0000 5.0193 0.0000
0.0000 0.0000 5.0193
Cl Os In
1 3 1
direct
0.5000 0.5000 0.5000
0.0000 0.5000 0.0000
0.5000 0.0000 0.0000
0.0000 0.0000 0.5000
0.0000 0.0000 0.0000
```

Uncorrected formation energy, meV/atom: 3069.5
Mass density, g/cm3: 9.47
Space-group type: Pm-3m
Polymorph energy (0 for the lowest one), eV/f.u.: 6.231
Total magnetization, Bohr magnetons per cell: 7.29

No. 8
Material: InPOsCl2
Method: DFT, PBE
State: optimized geometry

POSCAR file:
```
InPOsCl2
1.0
5.0377 0.0000 0.0000
0.0000 5.0377 0.0000
0.0000 0.0000 4.4472
In P Cl Os
1 1 2 1
direct
0.5000 0.5000 0.5000
0.0000 0.0000 0.5000
0.5000 0.0000 0.0000
0.0000 0.5000 0.0000
0.0000 0.0000 0.0000
```

Uncorrected formation energy, meV/atom: 125.6
Mass density, g/cm3: 5.99
Space-group type: P4/mmm
Polymorph energy (0 for the lowest one), eV/f.u.: 0.000
Total magnetization, Bohr magnetons per cell: 0.00